1.
A relaxed MnReW2 crystal. Source: the Alexandria database, functional PBE.

## Properties
density of states at the Fermi level: 0.9419 states/eV/atom
polymorph energy (0 for the lowest one): 245 meV/atom
formation energy: 0.3280 eV/atom
symmetry: R3m (160)
uncorrected energy: -11.5530 eV per atom

Cell lengths 9.346, 9.346, 9.346 Å; angles 16.83, 16.83, 16.83 degrees
Element x y z (fractional)
Mn1 0.497 0.497 0.497
Re1 0.757 0.757 0.757
W1 0.002 0.002 0.002
W2 0.244 0.244 0.244

2.
A relaxed Tl6SbAu3 crystal. Source: the Alexandria database, functional PBE.

## Properties
density of states at the Fermi level: 0.4165 states/eV/atom
symmetry: R3 (146)
energy relative to the elements, uncorrected: -0.03 eV/atom
uncorrected energy: -2.8450 eV per atom

Cell lengths 6.489, 6.489, 6.489 Å; angles 89.99, 89.99, 89.99 degrees
Element x y z (fractional)
Tl1 0.546 0.901 0.255
Tl2 0.901 0.255 0.546
Tl3 0.255 0.546 0.901
Tl4 0.400 0.060 0.741
Tl5 0.060 0.741 0.400
Tl6 0.741 0.400 0.060
Sb1 0.899 0.899 0.899
Au1 0.399 0.399 0.399
Au2 0.645 0.645 0.645
Au3 0.153 0.153 0.153

3.
A relaxed SrSiBr crystal. Source: the Alexandria database, functional PBE.

## Properties
density of states at the Fermi level: 0.4609 states/eV/atom
symmetry: I4mm (107)
energy relative to the elements, uncorrected: -0.35 eV/atom
uncorrected energy: -3.2731 eV per atom

Cell lengths 7.480, 7.480, 3.752 Å; angles 75.48, 75.47, 29.05 degrees
Element x y z (fractional)
Br1 0.038 0.038 0.962
Si1 0.305 0.305 0.695
Sr1 0.657 0.657 0.343

4.
A relaxed Nd2SmY3 crystal. Source: the Alexandria database, functional PBE.

## Properties
density of states at the Fermi level: 1.5099 states/eV/atom
formation energy: 0.0637 eV/atom
symmetry: C2/c (15)
uncorrected energy: -5.5441 eV per atom

Cell lengths 6.729, 9.065, 6.729 Å; angles 82.47, 84.55, 97.54 degrees
Element x y z (fractional)
Nd1 0.873 0.626 0.624
Nd2 0.376 0.126 0.127
Nd3 0.624 0.874 0.873
Nd4 0.127 0.374 0.376
Sm1 0.085 0.750 0.085
Sm2 0.915 0.250 0.915
Y1 0.583 0.250 0.583
Y2 0.417 0.750 0.417
Y3 0.165 0.999 0.669
Y4 0.669 0.501 0.165
Y5 0.331 0.499 0.835
Y6 0.835 0.001 0.331